# Sr3VAu

A geometry-optimized Sr3VAu structure (PBE-GGA, Alexandria).

Cell: 5.9813 5.9813 5.9813 Å, 90.00 90.00 90.00°
Fractional coordinates of all 5 atoms:
Au1 0.0000 0.0000 0.0000
Sr1 0.0000 0.5000 0.0000
Sr2 0.0000 0.0000 0.5000
V1 0.5000 0.5000 0.5000
Sr3 0.5000 0.0000 0.0000

Results
Its energy relative to the elements is 0.2896 eV per atom. The energy above the lowest structure with this stoichiometry is 0 meV per atom.

=====

# Tm2MgTl3Se6

A geometry-optimized Tm2MgTl3Se6 structure (PBE-GGA, Alexandria).

Cell: 7.1457 7.1457 7.8632 Å, 98.71 98.71 120.03°
Fractional coordinates of all 12 atoms:
Se1 0.7387 0.7387 0.2038
Se2 0.0676 0.3971 0.2033
Se3 0.3971 0.0676 0.2033
Tm1 0.3336 0.6664 0.0000
Tl1 0.5000 0.5000 0.5000
Tl2 0.1682 0.8318 0.5000
Tl3 0.8318 0.1682 0.5000
Se4 0.2613 0.2613 0.7962
Mg1 0.0000 0.0000 0.0000
Tm2 0.6664 0.3336 0.0000
Se5 0.6029 0.9324 0.7967
Se6 0.9324 0.6029 0.7967

Results
For the total energy, the calculation gives -4.35 eV per atom.

=====

Please write out number 2 again, unchanged.
# Tm2MgTl3Se6

A geometry-optimized Tm2MgTl3Se6 structure (PBE-GGA, Alexandria).

Cell: 7.1457 7.1457 7.8632 Å, 98.71 98.71 120.03°
Fractional coordinates of all 12 atoms:
Se1 0.7387 0.7387 0.2038
Se2 0.0676 0.3971 0.2033
Se3 0.3971 0.0676 0.2033
Tm1 0.3336 0.6664 0.0000
Tl1 0.5000 0.5000 0.5000
Tl2 0.1682 0.8318 0.5000
Tl3 0.8318 0.1682 0.5000
Se4 0.2613 0.2613 0.7962
Mg1 0.0000 0.0000 0.0000
Tm2 0.6664 0.3336 0.0000
Se5 0.6029 0.9324 0.7967
Se6 0.9324 0.6029 0.7967

Results
For the total energy, the calculation gives -4.35 eV per atom.